Computed, not measured: crystalline TbErSc5 at its relaxed geometry at the PBE level of DFT.

Unit cell a=5.0838 b=5.0838 c=7.6292 alpha=90.00 beta=90.00 gamma=90.00
Space group P4/mmm (No. 123)
Inequivalent atoms, fractional coordinates:
Tb1 0.0000 0.0000 0.0000 [1 per cell]
Er1 0.5000 0.5000 0.5000 [1 per cell]
Sc1 0.0000 0.5000 0.2739 [4 per cell]
Sc2 0.5000 0.5000 0.0000 [1 per cell]

Calculated values
DFT formation energy	0.368	eV/atom
total moment	0.001	μB per formula unit



Computed, not measured: crystalline Tb2ErSc8 at its relaxed geometry at the PBE level of DFT.

Unit cell a=8.6862 b=15.9526 c=5.4973 alpha=90.00 beta=128.50 gamma=90.00
Space group C2/m (No. 12)
Inequivalent atoms, fractional coordinates:
Tb1 0.0000 0.1911 0.0000 [4 per cell]
Er1 0.0000 0.5000 0.5000 [2 per cell]
Sc1 0.0000 0.2980 0.5000 [4 per cell]
Sc2 0.0154 0.0000 0.2569 [4 per cell]
Sc3 0.2231 0.3735 0.2171 [8 per cell]

Calculated values
DFT formation energy	0.144	eV/atom
total moment	0.001	μB per formula unit



Computed, not measured: crystalline TbErSc2 at its relaxed geometry at the PBE level of DFT.

Unit cell a=6.6066 b=8.0616 c=8.5276 alpha=90.00 beta=90.04 gamma=90.00
Space group P2_1/c (No. 14)
Inequivalent atoms, fractional coordinates:
Tb1 0.1253 0.0298 0.3196 [4 per cell]
Er1 0.3756 0.5239 0.1800 [4 per cell]
Sc1 0.1275 0.6678 0.4909 [4 per cell]
Sc2 0.3770 0.1676 0.0082 [4 per cell]

Calculated values
DFT formation energy	0.179	eV/atom
total moment	0.000	μB per formula unit



Computed, not measured: crystalline Tb15Er2Sc2 at its relaxed geometry at the PBE level of DFT.

Unit cell a=11.0276 b=11.0276 c=17.5454 alpha=90.00 beta=90.00 gamma=120.00
Space group R-3m (No. 166, hexagonal axes)
Inequivalent atoms, fractional coordinates:
Tb1 0.0000 0.2945 0.0000 [18 per cell]
Tb2 0.0000 0.5000 0.5000 [9 per cell]
Tb3 0.0130 0.5065 0.1349 [18 per cell]
Er1 0.0000 0.0000 0.3175 [6 per cell]
Sc1 0.0000 0.0000 0.0902 [6 per cell]

Calculated values
DFT formation energy	0.294	eV/atom
total moment	0.111	μB per formula unit



Computed, not measured: crystalline Tb2Er2Sc3 at its relaxed geometry at the PBE level of DFT.

Unit cell a=10.7815 b=4.8197 c=7.6692 alpha=90.00 beta=98.30 gamma=90.00
Space group C2/m (No. 12)
Inequivalent atoms, fractional coordinates:
Tb1 0.2123 0.0000 0.1460 [4 per cell]
Er1 0.0709 0.0000 0.7100 [4 per cell]
Sc1 0.0000 0.5000 0.0000 [2 per cell]
Sc2 0.1431 0.5000 0.4280 [4 per cell]

Calculated values
DFT formation energy	0.051	eV/atom
total moment	0.000	μB per formula unit



Computed, not measured: crystalline Tb4Er5Sc at its relaxed geometry at the PBE level of DFT.

Unit cell a=17.3656 b=3.4377 c=10.8083 alpha=90.00 beta=107.03 gamma=90.00
Space group C2/m (No. 12)
Inequivalent atoms, fractional coordinates:
Tb1 0.0917 0.0000 0.3075 [4 per cell]
Tb2 0.1960 0.5000 0.5837 [4 per cell]
Er1 0.0000 0.5000 0.0000 [2 per cell]
Er2 0.1062 0.0000 0.7870 [4 per cell]
Er3 0.2064 0.0000 0.0975 [4 per cell]
Sc1 0.0000 0.5000 0.5000 [2 per cell]

Calculated values
DFT formation energy	0.118	eV/atom
total moment	0.000	μB per formula unit



Computed, not measured: crystalline Tb7Er4Sc at its relaxed geometry at the PBE level of DFT.

Unit cell a=6.4111 b=6.7378 c=9.0144 alpha=86.27 beta=76.09 gamma=82.15
Space group P-1 (No. 2)
Inequivalent atoms, fractional coordinates:
Tb1 0.0000 0.0000 0.0000 [1 per cell]
Tb2 0.1915 0.6027 0.3819 [2 per cell]
Tb3 0.3184 0.1986 0.6380 [2 per cell]
Tb4 0.4979 0.7455 0.0485 [2 per cell]
Er1 0.1644 0.1114 0.3123 [2 per cell]
Er2 0.3454 0.6899 0.7190 [2 per cell]
Sc1 0.0000 0.5000 0.0000 [1 per cell]

Calculated values
DFT formation energy	0.100	eV/atom
total moment	0.000	μB per formula unit



Computed, not measured: crystalline TbEr2Sc7 at its relaxed geometry at the PBE level of DFT.

Unit cell a=6.0139 b=27.0796 c=3.3207 alpha=90.00 beta=90.00 gamma=90.00
Space group Cmmm (No. 65)
Inequivalent atoms, fractional coordinates:
Tb1 0.0000 0.0000 0.0000 [2 per cell]
Er1 0.0000 0.2890 0.5000 [4 per cell]
Sc1 0.0000 0.1826 0.0000 [4 per cell]
Sc2 0.0000 0.5000 0.5000 [2 per cell]
Sc3 0.2476 0.0991 0.5000 [8 per cell]

Calculated values
DFT formation energy	0.151	eV/atom
total moment	0.007	μB per formula unit



Computed, not measured: crystalline Tb2Er4Sc at its relaxed geometry at the PBE level of DFT.

Unit cell a=6.5998 b=8.6790 c=8.7034 alpha=81.45 beta=67.74 gamma=67.66
Space group P1 (No. 1)
Inequivalent atoms, fractional coordinates:
Tb1 0.0000 0.0000 0.0000 [1 per cell]
Tb2 0.0310 0.4999 0.4995 [1 per cell]
Tb3 0.3405 0.0286 0.5309 [1 per cell]
Tb4 0.8995 0.9718 0.4700 [1 per cell]
Er1 0.3294 0.1656 0.1628 [1 per cell]
Er2 0.3293 0.2465 0.7665 [1 per cell]
Er3 0.3345 0.6541 0.6621 [1 per cell]
Er4 0.3415 0.7540 0.2340 [1 per cell]
Er5 0.6512 0.3462 0.3386 [1 per cell]
Er6 0.6579 0.8336 0.8373 [1 per cell]
Er7 0.7760 0.2612 0.7507 [1 per cell]
Er8 0.7865 0.7402 0.2498 [1 per cell]
Sc1 0.3358 0.5248 0.0269 [1 per cell]
Sc2 0.8872 0.4755 0.9745 [1 per cell]

Calculated values
DFT formation energy	0.195	eV/atom
total moment	0.000	μB per formula unit



Computed, not measured: crystalline Tb8ErSc5 at its relaxed geometry at the PBE level of DFT.

Unit cell a=11.9803 b=11.0599 c=8.5990 alpha=90.00 beta=132.88 gamma=90.00
Space group C2 (No. 5)
Inequivalent atoms, fractional coordinates:
Tb1 0.0709 0.0000 0.3462 [4 per cell]
Tb2 0.0732 0.5742 0.3034 [4 per cell]
Tb3 0.1721 0.3245 0.0701 [4 per cell]
Tb4 0.2360 0.5115 0.8047 [4 per cell]
Er1 0.0000 0.7984 0.0000 [2 per cell]
Sc1 0.0000 0.7698 0.5000 [2 per cell]
Sc2 0.1365 0.2904 0.4579 [4 per cell]
Sc3 0.2169 0.1232 0.8051 [4 per cell]

Calculated values
DFT formation energy	0.212	eV/atom
total moment	0.000	μB per formula unit



Computed, not measured: crystalline TbErSc2 at its relaxed geometry at the PBE level of DFT.

Unit cell a=4.8700 b=4.8700 c=4.6727 alpha=90.00 beta=90.00 gamma=90.00
Space group P4/mmm (No. 123)
Inequivalent atoms, fractional coordinates:
Tb1 0.0000 0.0000 0.0000 [1 per cell]
Er1 0.5000 0.5000 0.0000 [1 per cell]
Sc1 0.0000 0.5000 0.5000 [2 per cell]

Calculated values
DFT formation energy	0.052	eV/atom
total moment	0.000	μB per formula unit



Computed, not measured: crystalline TbErSc2 at its relaxed geometry at the PBE level of DFT.

Unit cell a=7.6307 b=7.6307 c=7.6307 alpha=90.00 beta=90.00 gamma=90.00
Space group Fm-3m (No. 225)
Inequivalent atoms, fractional coordinates:
Tb1 0.0000 0.0000 0.0000 [4 per cell]
Er1 0.0000 0.0000 0.5000 [4 per cell]
Sc1 0.2500 0.2500 0.2500 [8 per cell]

Calculated values
DFT formation energy	0.090	eV/atom
total moment	0.000	μB per formula unit



Computed, not measured: crystalline TbEr4Sc at its relaxed geometry at the PBE level of DFT.

Unit cell a=4.9673 b=4.9673 c=8.7390 alpha=90.00 beta=90.00 gamma=90.00
Space group P4/mmm (No. 123)
Inequivalent atoms, fractional coordinates:
Tb1 0.0000 0.0000 0.0000 [1 per cell]
Er1 0.0000 0.5000 0.2850 [4 per cell]
Sc1 0.5000 0.5000 0.5000 [1 per cell]

Calculated values
DFT formation energy	0.660	eV/atom
total moment	0.000	μB per formula unit



Computed, not measured: crystalline Tb4Er15Sc at its relaxed geometry at the PBE level of DFT.

Unit cell a=4.9607 b=4.9607 c=24.7493 alpha=90.00 beta=90.00 gamma=90.00
Space group P4/mmm (No. 123)
Inequivalent atoms, fractional coordinates:
Tb1 0.0000 0.0000 0.1008 [2 per cell]
Tb2 0.0000 0.0000 0.3019 [2 per cell]
Er1 0.0000 0.5000 0.0000 [2 per cell]
Er2 0.0000 0.5000 0.2016 [4 per cell]
Er3 0.0000 0.5000 0.4034 [4 per cell]
Er4 0.5000 0.5000 0.1007 [2 per cell]
Er5 0.5000 0.5000 0.3025 [2 per cell]
Er6 0.5000 0.5000 0.5000 [1 per cell]
Sc1 0.0000 0.0000 0.5000 [1 per cell]

Calculated values
DFT formation energy	0.026	eV/atom
total moment	0.000	μB per formula unit



Computed, not measured: crystalline Tb3Er3Sc2 at its relaxed geometry at the PBE level of DFT.

Unit cell a=4.9045 b=4.9196 c=9.7603 alpha=90.00 beta=90.00 gamma=90.00
Space group Pmmm (No. 47)
Inequivalent atoms, fractional coordinates:
Tb1 0.0000 0.0000 0.0000 [1 per cell]
Tb2 0.0000 0.0000 0.5000 [1 per cell]
Tb3 0.5000 0.5000 0.0000 [1 per cell]
Er1 0.0000 0.5000 0.2506 [2 per cell]
Er2 0.5000 0.5000 0.5000 [1 per cell]
Sc1 0.5000 0.0000 0.2509 [2 per cell]

Calculated values
DFT formation energy	0.041	eV/atom
total moment	0.005	μB per formula unit



Computed, not measured: crystalline TbEr12Sc6 at its relaxed geometry at the PBE level of DFT.

Unit cell a=10.3698 b=10.3698 c=10.3698 alpha=90.00 beta=90.00 gamma=90.00
Space group Im-3 (No. 204)
Inequivalent atoms, fractional coordinates:
Tb1 0.0000 0.0000 0.0000 [2 per cell]
Er1 0.0000 0.1957 0.2663 [24 per cell]
Sc1 0.0000 0.3622 0.5000 [12 per cell]

Calculated values
DFT formation energy	0.242	eV/atom
total moment	0.000	μB per formula unit



Computed, not measured: crystalline Tb4Er2Sc at its relaxed geometry at the PBE level of DFT.

Unit cell a=6.0627 b=6.4775 c=11.3226 alpha=90.00 beta=105.17 gamma=90.00
Space group P2_1/m (No. 11)
Inequivalent atoms, fractional coordinates:
Tb1 0.0373 0.2500 0.3691 [2 per cell]
Tb2 0.1492 0.2500 0.9421 [2 per cell]
Tb3 0.3548 0.5059 0.2140 [4 per cell]
Er1 0.2829 0.7500 0.9224 [2 per cell]
Er2 0.3878 0.7500 0.4997 [2 per cell]
Sc1 0.1546 0.2500 0.6634 [2 per cell]

Calculated values
DFT formation energy	0.141	eV/atom
total moment	0.000	μB per formula unit



Computed, not measured: crystalline TbErSc2 at its relaxed geometry at the PBE level of DFT.

Unit cell a=3.4135 b=3.4135 c=32.8303 alpha=90.00 beta=90.00 gamma=120.00
Space group R-3m (No. 166, hexagonal axes)
Inequivalent atoms, fractional coordinates:
Tb1 0.0000 0.0000 0.0000 [3 per cell]
Er1 0.0000 0.0000 0.5000 [3 per cell]
Sc1 0.0000 0.0000 0.2496 [6 per cell]

Calculated values
DFT formation energy	0.056	eV/atom
total moment	0.000	μB per formula unit



Computed, not measured: crystalline TbEr7Sc3 at its relaxed geometry at the PBE level of DFT.

Unit cell a=6.6220 b=5.3483 c=9.5386 alpha=90.00 beta=104.52 gamma=90.00
Space group P2/m (No. 10)
Inequivalent atoms, fractional coordinates:
Tb1 0.0000 0.0000 0.0000 [1 per cell]
Er1 0.0000 0.0000 0.5000 [1 per cell]
Er2 0.1568 0.5000 0.7800 [2 per cell]
Er3 0.3190 0.5000 0.1303 [2 per cell]
Er4 0.4558 0.0000 0.3301 [2 per cell]
Sc1 0.2726 0.5000 0.4795 [2 per cell]
Sc2 0.5000 0.0000 0.0000 [1 per cell]

Calculated values
DFT formation energy	0.145	eV/atom
total moment	0.002	μB per formula unit



Computed, not measured: crystalline Tb4Er3Sc4 at its relaxed geometry at the PBE level of DFT.

Unit cell a=3.4063 b=5.3822 c=34.3498 alpha=90.00 beta=90.00 gamma=90.00
Space group Immm (No. 71)
Inequivalent atoms, fractional coordinates:
Tb1 0.0000 0.0000 0.0474 [4 per cell]
Tb2 0.0000 0.5000 0.1816 [4 per cell]
Er1 0.0000 0.0000 0.5000 [2 per cell]
Er2 0.0000 0.5000 0.3614 [4 per cell]
Sc1 0.0000 0.0000 0.2339 [4 per cell]
Sc2 0.0000 0.5000 0.0920 [4 per cell]

Calculated values
DFT formation energy	0.068	eV/atom
total moment	0.000	μB per formula unit



Computed, not measured: crystalline Tb5ErSc5 at its relaxed geometry at the PBE level of DFT.

Unit cell a=5.7831 b=5.7831 c=11.3191 alpha=90.00 beta=90.00 gamma=120.00
Space group P-6m2 (No. 187)
Inequivalent atoms, fractional coordinates:
Tb1 0.0000 0.0000 0.0000 [1 per cell]
Tb2 0.3333 0.6667 0.3181 [2 per cell]
Tb3 0.6667 0.3333 0.1587 [2 per cell]
Er1 0.3333 0.6667 0.0000 [1 per cell]
Sc1 0.0000 0.0000 0.2694 [2 per cell]
Sc2 0.3288 0.1644 0.5000 [3 per cell]

Calculated values
DFT formation energy	0.240	eV/atom
total moment	2.192	μB per formula unit



| no. | uncorrected energy (eV per atom) |
| --- | --- |
| 1 | -5.47 |
| 2 | -5.72 |
| 3 | -5.29 |
| 4 | -4.51 |
| 5 | -5.29 |
| 6 | -4.65 |
| 7 | -4.65 |
| 8 | -5.66 |
| 9 | -4.64 |
| 10 | -5.02 |
| 11 | -5.41 |
| 12 | -5.37 |
| 13 | -4.21 |
| 14 | -4.64 |
| 15 | -4.99 |
| 16 | -4.88 |
| 17 | -4.71 |
| 18 | -5.41 |
| 19 | -4.91 |
| 20 | -5.16 |
| 21 | -5.16 |